Entry 1:
The following is a DFT calculation (PBEsol) of a geometry-optimized Cu2POs structure.

Cell lengths 3.1622, 3.9455, 4.6824 Å; angles 114.92, 109.74, 90.00 degrees
With the nearest neighbours (Å) after each atom.
Atoms (fractional coordinates):
1 P 0.2485 0.7485 0.4971  2 Os 2.34, 6 Cu 2.37-2.53
2 Os 0.5289 0.5289 0.0577  2 P 2.34, 4 Cu 2.57
3 Cu 0.7496 0.2496 0.4993  4 P 2.53, 4 Os 2.63-2.71, 4 Cu 2.64-2.69
4 Cu 0.9730 0.9730 0.9459  2 P 2.37, 4 Os 2.57, 2 Cu 2.64

Results
Total DFT energy (no corrections): -6.475 eV/atom
E_form: 0.19 eV/atom
Size of the total moment: 0.0 μB per cell
Symmetry: No. 44

---

Entry 2:
The following is a DFT calculation (PBEsol) of a geometry-optimized B2Ru structure.

Cell lengths 2.8520, 4.0219, 4.6206 Å; angles 90.00, 90.00, 90.00 degrees
With the nearest neighbours (Å) after each atom.
Atoms (fractional coordinates):
1 B 0.0000 0.3627 0.1966  3 B 1.82-1.87
2 B 0.0000 0.3627 0.8034  3 B 1.82-1.87
3 B 0.5000 0.6373 0.3034  3 B 1.82-1.87
4 B 0.5000 0.6373 0.6966  3 B 1.82-1.87
5 Ru 0.5000 0.1507 0.5000  8 B 2.16-2.26
6 Ru 0.0000 0.8493 0.0000  8 B 2.16-2.26

Results
Total DFT energy (no corrections): -8.402 eV/atom
E_form: -0.33 eV/atom
Size of the total moment: 0.0 μB per cell
Symmetry: No. 59

---

Entry 3:
The following is a DFT calculation (PBEsol) of a geometry-optimized Ce2ZrO6 structure.

Cell lengths 3.7521, 5.2878, 6.4621 Å; angles 114.15, 106.88, 90.00 degrees
With the nearest neighbours (Å) after each atom.
Atoms (fractional coordinates):
1 O 0.1602 0.4036 0.3205  1 Zr 2.21, 3 Ce 2.32-2.34
2 O 0.1602 0.9169 0.3205  1 Zr 2.21, 3 Ce 2.32-2.34
3 O 0.8397 0.5964 0.6795  1 Zr 2.21, 3 Ce 2.32-2.34
4 O 0.5000 0.2355 0.0000  2 Zr 2.25, 2 Ce 2.31, 1 O 2.49
5 O 0.8397 0.0831 0.6795  1 Zr 2.21, 3 Ce 2.32-2.34
6 O 0.5000 0.7645 0.0000  2 Zr 2.25, 2 Ce 2.31, 1 O 2.49
7 Ce 0.6645 0.6645 0.3290  8 O 2.31-2.34
8 Ce 0.3355 0.3355 0.6710  8 O 2.31-2.34
9 Zr 0.0000 0.0000 0.0000  8 O 2.21-2.25

Results
Uncorrected formation energy: -3.440 eV per atom
Energy relative to the lowest polymorph listed for this composition: 6 meV/atom
Total DFT energy (no corrections): -9.415 eV/atom
Size of the total moment: 0.0 μB per cell
Symmetry: No. 71

---

Entry 4:
The following is a DFT calculation (PBEsol) of a geometry-optimized Ba2HfTeMo structure.

Cell lengths 5.3257, 6.2317, 6.2317 Å; angles 90.00, 90.00, 90.00 degrees
With the nearest neighbours (Å) after each atom.
Atoms (fractional coordinates):
1 Hf 0.0000 0.0000 0.0000  2 Te 2.66
2 Ba 0.0000 0.0000 0.5000  2 Hf 3.12
3 Ba 0.0000 0.5000 0.0000  2 Hf 3.12
4 Te 0.5000 0.0000 0.0000  2 Hf 2.66
5 Mo 0.5000 0.5000 0.5000  8 Ba 4.10, 4 Te 4.41

Results
Uncorrected formation energy: 1.213 eV per atom
Total DFT energy (no corrections): -4.806 eV/atom
Size of the total moment: 4.5 μB per cell
Symmetry: No. 123